Record 1
First-principles (PBE) data for a geometry-optimized MgMnSb2 structure, as listed in Alexandria.

```
MgMnSb2
1.0
-3.5424 -1.0224 -0.6168
0.6709 -2.9211 0.9890
-1.3152 -0.1242 7.7594
Sb Mg Mn
2 1 1
Direct
0.0000 0.4721 0.5283 Sb
0.0000 0.0279 0.9717 Sb
0.5000 0.2500 0.2500 Mg
0.5000 0.7500 0.7500 Mn
```

Output
magnetic moment = 0.851 μB per atom
N(E_F) = 1.79 states/eV/f.u.
volume = 22.2 A^3/atom
formation energy from raw total energies = 0.072 eV/atom

Record 2
First-principles (PBE) data for a geometry-optimized Mg2Mn2Sb structure, as listed in Alexandria.

```
Mg2Mn2Sb
1.0
-0.8124 3.4144 -5.2933
-4.9163 -3.6803 -1.6194
-2.7313 2.6983 2.1597
Sb Mn Mg
2 4 4
Direct
0.5000 0.5000 0.0000 Sb
0.0000 0.0000 0.0000 Sb
0.8826 0.6174 0.0000 Mn
0.1174 0.3826 0.0000 Mn
0.3826 0.8826 0.0000 Mn
0.6174 0.1174 0.0000 Mn
0.8356 0.3356 0.5000 Mg
0.1644 0.6644 0.5000 Mg
0.3356 0.1644 0.5000 Mg
0.6644 0.8356 0.5000 Mg
```

Output
magnetic moment = 0.426 μB per atom
N(E_F) = 2.78 states/eV/f.u.
volume = 17.8 A^3/atom
formation energy from raw total energies = 0.154 eV/atom
excess energy over the best structure of this formula in the dataset = 0.00 eV per formula unit

Record 3
First-principles (PBE) data for a geometry-optimized Mg2Mn2Sb structure, as listed in Alexandria.

```
Mg2Mn2Sb
1.0
-2.8448 -5.6848 3.0975
6.4682 -2.3538 1.6207
-0.1250 1.6027 2.8266
Mg Mn Sb
4 4 2
Direct
0.3727 0.8727 0.0000 Mg
0.1273 0.3727 0.0000 Mg
0.8727 0.6273 0.0000 Mg
0.6273 0.1273 0.0000 Mg
0.6723 0.8277 0.5000 Mn
0.8277 0.3277 0.5000 Mn
0.1723 0.6723 0.5000 Mn
0.3277 0.1723 0.5000 Mn
0.0000 0.0000 0.0000 Sb
0.5000 0.5000 0.0000 Sb
```

Output
magnetic moment = 0.022 μB per atom
N(E_F) = 10.76 states/eV/f.u.
volume = 16.3 A^3/atom
formation energy from raw total energies = 0.813 eV/atom
excess energy over the best structure of this formula in the dataset = 3.30 eV per formula unit

Record 4
First-principles (PBE) data for a geometry-optimized MgMnSb2 structure, as listed in Alexandria.

```
MgMnSb2
1.0
4.3856 0.0000 0.0000
0.0000 5.1487 0.0000
0.0000 0.0000 3.9688
Sb Mg Mn
2 1 1
Direct
0.0000 0.0000 0.0000 Sb
0.5000 0.5000 0.0000 Sb
0.5000 0.0000 0.5000 Mg
0.0000 0.5000 0.5000 Mn
```

Output
magnetic moment = 0.969 μB per atom
N(E_F) = 2.19 states/eV/f.u.
volume = 22.4 A^3/atom
formation energy from raw total energies = 0.112 eV/atom

Record 5
First-principles (PBE) data for a geometry-optimized Mg14MnSb structure, as listed in Alexandria.

```
Mg14MnSb
1.0
3.1735 -5.4966 0.0000
3.1735 5.4966 0.0000
0.0000 0.0000 10.1682
Mg Sb Mn
14 1 1
Direct
0.6667 0.3333 0.2508 Mg
0.6667 0.3333 0.7492 Mg
0.1639 0.3279 0.2419 Mg
0.4996 0.9993 0.5000 Mg
0.6721 0.8361 0.7581 Mg
0.1639 0.3279 0.7581 Mg
0.5003 0.0005 0.0000 Mg
0.4996 0.5004 0.5000 Mg
0.0007 0.5004 0.5000 Mg
0.1639 0.8361 0.7581 Mg
0.9995 0.4997 0.0000 Mg
0.1639 0.8361 0.2419 Mg
0.6721 0.8361 0.2419 Mg
0.5003 0.4997 0.0000 Mg
0.0000 0.0000 0.5000 Sb
0.0000 0.0000 0.0000 Mn
```

Output
magnetic moment = 0.213 μB per atom
N(E_F) = 8.52 states/eV/f.u.
volume = 22.2 A^3/atom
formation energy from raw total energies = 0.015 eV/atom
excess energy over the best structure of this formula in the dataset = 0.00 eV per formula unit

Record 6
First-principles (PBE) data for a geometry-optimized Mg3MnSb structure, as listed in Alexandria.

```
Mg3MnSb
1.0
5.3860 0.0000 0.0000
0.0000 5.3860 0.0000
0.0000 0.0000 5.3860
Mg Sb Mn
3 1 1
Direct
0.5000 0.0000 0.0000 Mg
0.0000 0.5000 0.0000 Mg
0.0000 0.0000 0.5000 Mg
0.0000 0.0000 0.0000 Sb
0.5000 0.5000 0.5000 Mn
```

Output
magnetic moment = 0.872 μB per atom
N(E_F) = 2.72 states/eV/f.u.
volume = 31.2 A^3/atom
formation energy from raw total energies = 0.696 eV/atom
excess energy over the best structure of this formula in the dataset = 0.00 eV per formula unit